Entry from the Alexandria database: a geometry-optimized NaV2Bi3O10 structure (PBE+U).

* Fermi-level density of states: 0.000 states/eV per atom
* calculated total energy: -103.90 eV/cell

Lattice parameters (Å, degrees): 5.683 7.160 7.280 68.42 84.14 66.86
Space group P1 (No. 1)
Unique sites:
Na 0.000 0.000 0.000 x1
V 0.342 0.316 0.794 x1
V 0.896 0.045 0.474 x1
Bi 0.210 0.391 0.258 x1
Bi 0.543 0.670 0.383 x1
Bi 0.680 0.705 0.886 x1
O 0.091 0.405 0.947 x1
O 0.152 0.971 0.324 x1
O 0.268 0.475 0.536 x1
O 0.391 0.048 0.839 x1
O 0.403 0.630 0.140 x1
O 0.603 0.338 0.861 x1
O 0.625 0.043 0.390 x1
O 0.841 0.705 0.144 x1
O 0.855 0.313 0.446 x1
O 0.956 0.879 0.723 x1